The following is a PBE calculation of a relaxed structure of NaRuBr2, from Alexandria.

Unit cell a=4.9786 b=4.9786 c=4.9786 alpha=60.00 beta=60.00 gamma=60.00
With the nearest neighbours (Å) after each atom.
Fractional coordinates of all 4 atoms:
Br 0.7500 0.7500 0.7500  4 Na 3.05, 4 Ru 3.05
Br 0.2500 0.2500 0.2500  4 Na 3.05, 4 Ru 3.05
Na 0.0000 0.0000 0.0000  8 Br 3.05
Ru 0.5000 0.5000 0.5000  8 Br 3.05

Summary:
As for the excess energy over the best structure of this formula in the dataset: 53 meV per atom. The value obtained for the formation energy (no corrections) is -12 meV per atom.